{
  "formula": "Zr2ZnCr",
  "functional": "PBE",
  "state": "optimized geometry",
  "lattice": [[-6.210, 6.353, 2.967], [-7.733, 3.738, 3.737], [-5.592, 4.926, 5.675]],
  "species": ["Cr", "Zn", "Zr", "Zr"],
  "frac_coords": [[0.495, 0.495, 0.495], [0.757, 0.757, 0.757], [0.005, 0.005, 0.005], [0.242, 0.242, 0.242]],
  "space_group": "No. 160",
  "e_tot_ev_per_atom": -6.73,
  "total_magnetization_mub_per_fu": 2.719
}

=====

{
  "formula": "Zr2Zn16Cr",
  "functional": "PBE",
  "state": "optimized geometry",
  "lattice": [[6.639, 0.051, 0.805], [0.719, 6.600, 0.805], [0.056, 0.051, 6.687]],
  "species": ["Zr", "Zr", "Zn", "Zn", "Zn", "Zn", "Zn", "Zn", "Zn", "Zn", "Zn", "Zn", "Zn", "Zn", "Zn", "Zn", "Zn", "Zn", "Cr"],
  "frac_coords": [[0.670, 0.670, 0.670], [0.339, 0.339, 0.339], [0.702, 0.998, 0.295], [0.998, 0.295, 0.702], [0.295, 0.702, 0.998], [0.998, 0.702, 0.295], [0.702, 0.295, 0.998], [0.295, 0.998, 0.702], [0.362, 0.826, 0.362], [0.826, 0.362, 0.362], [0.362, 0.362, 0.826], [0.645, 0.146, 0.645], [0.146, 0.645, 0.645], [0.645, 0.645, 0.146], [0.000, 0.499, 0.000], [0.499, 0.000, 0.000], [0.000, 0.000, 0.499], [0.110, 0.110, 0.110], [0.903, 0.903, 0.903]],
  "space_group": "No. 160",
  "e_tot_ev_per_atom": -2.57,
  "total_magnetization_mub_per_fu": 3.697
}